[1]
Entry from the Alexandria database: a PBEsol-optimized structure of As2PtCSe (SCAN).

Computed properties:
Its uncorrected formation energy is 1135 meV/atom.

a b c (Å): 4.217 4.217 4.276
angles (deg): 90.00 90.00 90.00
Positions (direct):
As (0.000, 0.500, 0.000)
As (0.500, 0.000, 0.000)
Pt (0.000, 0.000, 0.500)
C (0.500, 0.500, 0.000)
Se (0.500, 0.500, 0.500)

***

[2]
Entry from the Alexandria database: a PBEsol-optimized structure of RbAs2CSe (SCAN).

Computed properties:
Its uncorrected formation energy is 933 meV/atom.

a b c (Å): 4.503 4.503 4.960
angles (deg): 90.00 90.00 90.00
Positions (direct):
Rb (0.000, 0.000, 0.000)
As (0.000, 0.500, 0.500)
As (0.500, 0.000, 0.500)
C (0.500, 0.500, 0.500)
Se (0.500, 0.500, 0.000)

***

[3]
Entry from the Alexandria database: a PBEsol-optimized structure of Re3AsC (SCAN).

Computed properties:
The calculation puts the calculated formation energy at 795 meV/atom.

a b c (Å): 4.081 4.081 4.081
angles (deg): 90.00 90.00 90.00
Positions (direct):
Re (0.000, 0.000, 0.500)
Re (0.000, 0.500, 0.000)
Re (0.500, 0.000, 0.000)
As (0.500, 0.500, 0.500)
C (0.000, 0.000, 0.000)

***

[4]
Entry from the Alexandria database: a PBEsol-optimized structure of ReAsCSe2 (SCAN).

Computed properties:
Its uncorrected formation energy is 1854 meV/atom.

a b c (Å): 4.778 4.778 4.793
angles (deg): 90.00 90.00 90.00
Positions (direct):
Re (0.000, 0.000, 0.000)
As (0.000, 0.000, 0.500)
C (0.500, 0.500, 0.500)
Se (0.000, 0.500, 0.000)
Se (0.500, 0.000, 0.000)